No. 1
An optimized crystal structure of Gd4PbC2F, computed with GGA-PBE.

Unit cell a=3.6172 b=3.6172 c=14.2925 alpha=90.00 beta=90.00 gamma=120.00
Space group P-6m2 (No. 187)
Inequivalent atoms, fractional coordinates:
Gd 0.0000 0.0000 0.1250 (multiplicity 2)
Gd 0.3333 0.6667 0.3128 (multiplicity 2)
Pb 0.0000 0.0000 0.5000 (multiplicity 1)
C 0.6667 0.3333 0.2128 (multiplicity 2)
F 0.3333 0.6667 0.0000 (multiplicity 1)

Calculated values
Energy, eV/atom: -6.317

No. 2
An optimized crystal structure of Pr3GdC2F2, computed with GGA-PBE.

Unit cell a=3.6290 b=3.6290 c=12.8652 alpha=90.00 beta=90.00 gamma=120.00
Space group P3m1 (No. 156)
Inequivalent atoms, fractional coordinates:
Pr 0.0000 0.0000 0.0000 (multiplicity 1)
Pr 0.0000 0.0000 0.2855 (multiplicity 1)
Pr 0.6667 0.3333 0.5058 (multiplicity 1)
Gd 0.6667 0.3333 0.7865 (multiplicity 1)
C 0.3333 0.6667 0.3962 (multiplicity 1)
C 0.3333 0.6667 0.8851 (multiplicity 1)
F 0.0000 0.0000 0.6585 (multiplicity 1)
F 0.6667 0.3333 0.1409 (multiplicity 1)

Calculated values
Energy, eV/atom: -6.568

No. 3
An optimized crystal structure of PrGdCF, computed with GGA-PBE.

Unit cell a=3.5974 b=3.5974 c=12.7146 alpha=90.00 beta=90.00 gamma=120.00
Space group P-6m2 (No. 187)
Inequivalent atoms, fractional coordinates:
Pr 0.0000 0.0000 0.1452 (multiplicity 2)
Gd 0.6667 0.3333 0.3613 (multiplicity 2)
C 0.3333 0.6667 0.2627 (multiplicity 2)
F 0.0000 0.0000 0.5000 (multiplicity 1)
F 0.6667 0.3333 0.0000 (multiplicity 1)

Calculated values
Offset from the most stable computed form, kJ/mol of formula units: 2

No. 4
An optimized crystal structure of PrGdCF, computed with GGA-PBE.

Unit cell a=3.5941 b=3.5941 c=12.7536 alpha=90.00 beta=90.00 gamma=120.00
Space group P-3m1 (No. 164)
Inequivalent atoms, fractional coordinates:
Pr 0.3333 0.6667 0.3888 (multiplicity 2)
Gd 0.3333 0.6667 0.1044 (multiplicity 2)
C 0.0000 0.0000 0.0000 (multiplicity 1)
C 0.0000 0.0000 0.5000 (multiplicity 1)
F 0.3333 0.6667 0.7698 (multiplicity 2)

Calculated values
Offset from the most stable computed form, kJ/mol of formula units: 0

No. 5
An optimized crystal structure of Gd4C2SF, computed with GGA-PBE.

Unit cell a=3.6586 b=3.6586 c=12.7210 alpha=90.00 beta=90.00 gamma=120.00
Space group P-6m2 (No. 187)
Inequivalent atoms, fractional coordinates:
Gd 0.0000 0.0000 0.1396 (multiplicity 2)
Gd 0.3333 0.6667 0.3512 (multiplicity 2)
C 0.6667 0.3333 0.2363 (multiplicity 2)
S 0.0000 0.0000 0.5000 (multiplicity 1)
F 0.3333 0.6667 0.0000 (multiplicity 1)

Calculated values
Energy, eV/atom: -6.743

No. 6
An optimized crystal structure of Gd2Sc2CF5, computed with GGA-PBE.

Unit cell a=14.010 b=3.350 c=6.949 alpha=90.00 beta=112.96 gamma=90.00
Space group C2/m (No. 12)
Inequivalent atoms, fractional coordinates:
Gd 0.020 0.000 0.255 (multiplicity 4)
Sc 0.166 0.500 0.097 (multiplicity 4)
C 0.000 0.500 0.000 (multiplicity 2)
F 0.000 0.500 0.500 (multiplicity 2)
F 0.169 0.000 0.879 (multiplicity 4)
F 0.203 0.000 0.306 (multiplicity 4)

Calculated values
Energy, eV/atom: -6.723

No. 7
An optimized crystal structure of GdScCF2, computed with GGA-PBE.

Unit cell a=3.5192 b=3.5192 c=6.2412 alpha=90.00 beta=90.00 gamma=120.00
Space group P3m1 (No. 156)
Inequivalent atoms, fractional coordinates:
Gd 0.0000 0.0000 0.0000 (multiplicity 1)
Sc 0.3333 0.6667 0.5822 (multiplicity 1)
C 0.6667 0.3333 0.7805 (multiplicity 1)
F 0.0000 0.0000 0.4278 (multiplicity 1)
F 0.3333 0.6667 0.1908 (multiplicity 1)

Calculated values
Energy, eV/atom: -7.144

No. 8
An optimized crystal structure of Gd4C2SeF, computed with GGA-PBE.

Unit cell a=3.6858 b=3.6858 c=12.9216 alpha=90.00 beta=90.00 gamma=120.00
Space group P-6m2 (No. 187)
Inequivalent atoms, fractional coordinates:
Gd 0.0000 0.0000 0.1369 (multiplicity 2)
Gd 0.3333 0.6667 0.3440 (multiplicity 2)
C 0.6667 0.3333 0.2316 (multiplicity 2)
Se 0.0000 0.0000 0.5000 (multiplicity 1)
F 0.3333 0.6667 0.0000 (multiplicity 1)

Calculated values
Energy, eV/atom: -6.603

| no. | volume (A^3/atom) |
| --- | --- |
| 1 | 20.24 |
| 2 | 18.34 |
| 3 | 17.81 |
| 4 | 17.83 |
| 5 | 18.43 |
| 6 | 15.02 |
| 7 | 13.39 |
| 8 | 19.00 |